1.
VASP calculation (GGA-PBE) on an optimized crystal structure of Dy2AlNi4P3.

Properties
- calculated density (g cm⁻³) = 7.780
- electronic total energy (eV/cell) = -62.1
- total magnetic moment (μB/f.u.) = 0.0

Geometry as CIF:
```
data_Dy2AlNi4P3
_cell_length_a 3.8491
_cell_length_b 3.8491
_cell_length_c 9.7919
_cell_angle_alpha 90.00
_cell_angle_beta 90.00
_cell_angle_gamma 90.00
_symmetry_space_group_name_H-M 'P -4 m 2'
_symmetry_Int_Tables_number 115
_symmetry_space_group_name_Hall 'P -4 -2'
loop_
_atom_site_label
_atom_site_fract_x
_atom_site_fract_y
_atom_site_fract_z
Dy1 0.0000 0.5000 0.2376
Al1 0.0000 0.0000 0.5000
Ni1 0.0000 0.0000 0.0000
Ni2 0.0000 0.5000 0.6379
Ni3 0.5000 0.5000 0.0000
P1 0.0000 0.5000 0.8680
P2 0.5000 0.5000 0.5000
```



2.
VASP calculation (GGA-PBE) on an optimized crystal structure of Dy2Al4NiPd3.

Properties
- calculated density (g cm⁻³) = 7.390
- electronic total energy (eV/cell) = -53.3
- total magnetic moment (μB/f.u.) = 0.0

Geometry as CIF:
```
data_Dy2Al4NiPd3
_cell_length_a 4.1655
_cell_length_b 4.1655
_cell_length_c 10.5004
_cell_angle_alpha 90.00
_cell_angle_beta 90.00
_cell_angle_gamma 90.00
_symmetry_space_group_name_H-M 'P -4 m 2'
_symmetry_Int_Tables_number 115
_symmetry_space_group_name_Hall 'P -4 -2'
loop_
_atom_site_label
_atom_site_fract_x
_atom_site_fract_y
_atom_site_fract_z
Dy1 0.0000 0.5000 0.2420
Al1 0.0000 0.0000 0.5000
Al2 0.0000 0.5000 0.8782
Al3 0.5000 0.5000 0.5000
Ni1 0.5000 0.5000 0.0000
Pd1 0.0000 0.0000 0.0000
Pd2 0.0000 0.5000 0.6398
```